CsCd2H2 | PBE | relaxed

Cell and atoms, written as extended XYZ:
```
5
Lattice="4.6386 0.0000 0.0000 0.0000 4.6386 0.0000 2.3193 2.3193 5.1345" Properties=species:S:1:pos:R:3 pbc="T T T"
Cs 0.0000 0.0000 0.0000
H 4.6386 2.3193 2.5673
H 2.3193 4.6386 2.5673
Cd 2.3193 2.3193 1.6182
Cd 4.6386 4.6386 3.5163
```

DFT total energy = -1.650 eV/atom
spin magnetization = 0.000 μB/f.u.
calculated density = 5.41 Mg/m³



Pr3Ga8Ir3 | PBE | relaxed

Cell and atoms, written as extended XYZ:
```
14
Lattice="4.3111 0.0000 0.0000 2.1555 8.0284 -0.1947 2.1555 1.9984 7.7782" Properties=species:S:1:pos:R:3 pbc="T T T"
Pr 4.3111 5.0134 3.7917
Pr 4.3111 1.7575 1.3292
Pr 4.3111 8.2694 6.2542
Ga 4.3111 2.0897 5.1458
Ga 4.3111 7.9372 2.4377
Ga 4.3111 5.5203 0.6098
Ga 4.3111 4.5065 6.9737
Ga 6.4666 7.4933 4.0043
Ga 2.1555 2.5336 3.5792
Ga 6.4666 5.8931 6.1200
Ga 2.1555 4.1338 1.4634
Ir 2.1555 0.0000 0.0000
Ir 2.1555 6.7099 1.5486
Ir 2.1555 3.3169 6.0348
```

formation energy = -0.632 eV/atom
spin magnetization = 0.000 μB/f.u.
calculated density = 9.55 Mg/m³



ScFe2Rh | PBE | relaxed

Cell and atoms, written as extended XYZ:
```
4
Lattice="-0.4224 -1.0896 2.5567 3.6394 -1.8012 -0.1664 2.1506 4.1492 2.1237" Properties=species:S:1:pos:R:3 pbc="T T T"
Fe 0.0229 0.0441 0.0226
Fe 1.0525 2.0305 1.0393
Rh 2.1461 -0.4081 1.7261
Sc 3.2214 1.6665 2.7879
```

formation energy = -0.063 eV/atom
spin magnetization = 5.434 μB/f.u.
calculated density = 7.35 Mg/m³



AlSO4F2 | PBE | relaxed

Cell and atoms, written as extended XYZ:
```
16
Lattice="-0.8642 2.0666 -6.0908 5.8447 -3.1495 -1.8975 -2.6115 -4.2091 -1.0576" Properties=species:S:1:pos:R:3 pbc="T T T"
Al -0.0022 -2.4418 -2.4055
Al 3.7147 -0.8361 -5.8451
S 3.4951 -3.8749 -5.3374
S 0.5943 -0.3041 -0.2572
O 5.4800 -2.6662 -2.9205
O -1.6828 -0.8141 -4.7336
O 4.2438 -4.6094 -4.2630
O -0.6612 1.6423 -4.9034
O 2.1377 -4.4897 -5.3844
O 0.6854 -1.6994 -0.7745
O -0.6674 -3.8799 -1.3224
O 3.3963 -2.4611 -4.8747
F 1.1328 -1.4674 -3.2521
F -0.1233 -3.4920 -3.7607
F 0.9703 -3.3877 -7.3375
F 2.3257 -1.2031 -6.7886
```

E_form (uncorrected) = -1.781 eV per atom
spin magnetization = 1.033 μB/f.u.
calculated density = 2.36 Mg/m³



> Number 3 is which compound?

ScFe2Rh